1.
Material: Er15C19
Method: DFT, meta-GGA SCAN
State: PBEsol geometry

Output
For the volume, the calculation gives 14.13 A^3/atom. Its crystal system is tetragonal. The total energy is -1927.26 eV per cell. The energy of formation comes out at -0.489 eV per atom.

a b c (Å): 7.9676 7.9676 15.1382
angles (deg): 90.00 90.00 90.00
Closest atoms and distances in Å follow each position.
Space group P4/mnc (No. 128)
Inequivalent atoms, fractional coordinates:
Er1 0.0000 0.0000 0.0000  6 C 2.47-2.54
Er2 0.0000 0.0000 0.3312  6 C 2.53-2.56
Er3 0.0939 0.2977 0.5000  6 C 2.46-2.57
Er4 0.0986 0.7148 0.1507  5 C 2.29-2.56
C1 0.0000 0.0000 0.1635  6 Er 2.41-2.54
C2 0.0000 0.0000 0.5000  6 Er 2.49-2.56
C3 0.0957 0.3028 0.3303  1 C 1.34
C4 0.1016 0.6978 0.0000  6 Er 2.29-2.56
C5 0.1518 0.3482 0.2500  2 C 1.34

***

2.
Material: Er2Fe17C3
Method: DFT, meta-GGA SCAN
State: PBEsol geometry

Output
For the volume, the calculation gives 11.43 A^3/atom. Its crystal system is hexagonal. The total energy is -882.26 eV per cell. As for the energy above the most stable polymorph in this dataset: 0 meV/atom. The energy of formation comes out at -0.089 eV per atom.

a b c (Å): 8.4385 8.4385 8.1589
angles (deg): 90.00 90.00 120.00
Closest atoms and distances in Å follow each position.
Space group P6_3/mmc (No. 194)
Inequivalent atoms, fractional coordinates:
Er1 0.0000 0.0000 0.2500  3 C 2.42
Er2 0.3333 0.6667 0.2500  3 C 2.45
Fe1 0.0000 0.5000 0.0000  10 Fe 2.42-2.59
Fe2 0.0537 0.3807 0.7500  1 C 1.83
Fe3 0.1675 0.3350 0.0203  1 C 1.87
Fe4 0.3333 0.6667 0.6069  4 Fe 2.34-2.59
C1 0.1654 0.3308 0.2500  4 Fe 1.83-1.87